# TbDy2Tm8, optimized geometry, DFT PBE
data_TbDy2Tm8
_cell_length_a 5.4072
_cell_length_b 7.9676
_cell_length_c 9.2359
_cell_angle_alpha 115.55
_cell_angle_beta 107.02
_cell_angle_gamma 90.00
_space_group_name_H-M_alt 'P 1'
_space_group_IT_number 1
_space_group_name_Hall 'P 1'
loop_
_atom_site_label
_atom_site_type_symbol
_atom_site_fract_x
_atom_site_fract_y
_atom_site_fract_z
Tm1 Tm 0.0000 0.7069 0.0001
Tm2 Tm 0.0000 0.2931 0.9999
Tm3 Tm 0.1616 0.1617 0.3232
Tm4 Tm 0.3608 0.1525 0.7217
Tm5 Tm 0.6392 0.8475 0.2783
Tm6 Tm 0.8384 0.8383 0.6768
Tm7 Tm 0.6391 0.4308 0.2782
Tm8 Tm 0.3609 0.5692 0.7218
Tb1 Tb 0.5000 0.0000 0.0000
Dy1 Dy 0.7995 0.2996 0.5990
Dy2 Dy 0.2005 0.7004 0.4010
# formation energy from the elements: 0.119 eV per atom
# ΔE to the lowest computed polymorph: 94.8 meV per atom
# M_tot: 0.0 μB/cell
# calculated volume: 30.87 Å³ per atom